# 1
BaInPb | SCAN | single point on PBEsol structure

## Properties
Space group ... Imm2 (44)
Energy of formation from the pure elements ... -0.4730 eV/atom
DOS(E_F) ... 1.54 states/eV per cell

Unit cell a=3.803 b=4.070 c=6.914 alpha=107.12 beta=105.96 gamma=90.00
Atoms (fractional coordinates):
In 0.689 0.689 0.378
Ba 0.003 0.003 0.005
Pb 0.308 0.308 0.617



# 2
BaInPb3 | SCAN | single point on PBEsol structure

## Properties
Space group ... Pm-3m (221)
Energy of formation from the pure elements ... -0.0951 eV/atom
DOS(E_F) ... 3.25 states/eV per cell

Unit cell a=5.720 b=5.720 c=5.720 alpha=90.00 beta=90.00 gamma=90.00
Atoms (fractional coordinates):
Pb 0.000 0.000 0.500
In 0.000 0.000 0.000
Pb 0.500 0.000 0.000
Pb 0.000 0.500 0.000
Ba 0.500 0.500 0.500



# 3
BaIn2PtPb | SCAN | single point on PBEsol structure

## Properties
Space group ... P4/mmm (123)
Energy of formation from the pure elements ... 0.0632 eV/atom
DOS(E_F) ... 2.82 states/eV per cell

Unit cell a=5.125 b=5.678 c=5.678 alpha=90.00 beta=90.00 gamma=90.00
Atoms (fractional coordinates):
Pt 0.500 0.000 0.000
In 0.000 0.500 0.000
Pb 0.000 0.000 0.000
Ba 0.500 0.500 0.500
In 0.000 0.000 0.500



# 4
RbBa2InPb | SCAN | single point on PBEsol structure

## Properties
Space group ... P4/mmm (123)
Energy of formation from the pure elements ... 0.5614 eV/atom
DOS(E_F) ... 2.99 states/eV per cell

Unit cell a=5.793 b=6.283 c=6.283 alpha=90.00 beta=90.00 gamma=90.00
Atoms (fractional coordinates):
Ba 0.000 0.500 0.000
Rb 0.000 0.000 0.000
In 0.500 0.000 0.000
Ba 0.000 0.000 0.500
Pb 0.500 0.500 0.500